Record 1
{
  "formula": "SrTa4Fe",
  "functional": "PBE",
  "state": "relaxed",
  "lattice": [[0.000, 3.984, 3.984], [3.984, 0.000, 3.984], [3.984, 3.984, 0.000]],
  "species": ["Sr", "Ta", "Ta", "Ta", "Ta", "Fe"],
  "frac_coords": [[0.000, 0.000, 0.000], [0.878, 0.374, 0.374], [0.374, 0.374, 0.878], [0.374, 0.878, 0.374], [0.374, 0.374, 0.374], [0.750, 0.750, 0.750]],
  "dft_energy_ry_per_atom": -0.64223,
  "dos_ef_per_ev_cell": 11.45,
  "spacegroup": "F-43m",
  "e_form_kj_per_mol_atoms": 82.5
}

Record 2
{
  "formula": "Sr2TaFe",
  "functional": "PBE",
  "state": "relaxed",
  "lattice": [[-2.713, -4.112, -9.762], [0.066, -5.832, -9.249], [-2.801, -6.910, -7.999]],
  "species": ["Sr", "Sr", "Fe", "Ta"],
  "frac_coords": [[0.004, 0.004, 0.004], [0.496, 0.496, 0.496], [0.750, 0.750, 0.750], [0.250, 0.250, 0.250]],
  "de_polymorph_mev_per_atom": 709,
  "dft_energy_ry_per_atom": -0.35022,
  "dos_ef_per_ev_cell": 5.24,
  "spacegroup": "R-3m",
  "e_form_kj_per_mol_atoms": 111.4
}

Record 3
{
  "formula": "SrTa2Fe",
  "functional": "PBE",
  "state": "relaxed",
  "lattice": [[5.104, 0.016, -0.003], [4.076, 3.071, -0.003], [1.416, 0.476, 5.991]],
  "species": ["Sr", "Fe", "Ta", "Ta"],
  "frac_coords": [[0.226, 0.226, 0.264], [0.477, 0.477, 0.622], [0.772, 0.772, 0.734], [0.025, 0.025, 0.880]],
  "de_polymorph_mev_per_atom": 196,
  "dft_energy_ry_per_atom": -0.57381,
  "dos_ef_per_ev_cell": 4.56,
  "spacegroup": "Cm",
  "e_form_kj_per_mol_atoms": 63.2
}